# PBE-GGA Pm3TmTl4Se8, optimized geometry
# Formation energy (no corrections) (kJ/mol of formula units): -2129
# Total energy (eV/atom): -4.883
data_Pm3TmTl4Se8
_chemical_formula_sum 'Pm3 Tm1 Tl4 Se8'
_space_group_name_H-M_alt 'P 1'
_space_group_IT_number 1
_space_group_name_Hall 'P 1'
_cell_length_a 9.1888
_cell_length_b 9.1888
_cell_length_c 9.1888
_cell_angle_alpha 55.19
_cell_angle_beta 55.19
_cell_angle_gamma 55.19
loop_
_atom_site_label
_atom_site_fract_x
_atom_site_fract_y
_atom_site_fract_z
_atom_site_occupancy
Pm1 0.0000 0.5000 0.5000 1
Pm2 0.5000 0.0000 0.5000 1
Pm3 0.5000 0.5000 0.0000 1
Tm1 0.0000 0.0000 0.0000 1
Tl1 0.0000 0.0000 0.5000 1
Tl2 0.0000 0.5000 0.0000 1
Tl3 0.5000 0.0000 0.0000 1
Tl4 0.5000 0.5000 0.5000 1
Se1 0.2311 0.2311 0.7442 1
Se2 0.2311 0.7442 0.2311 1
Se3 0.2558 0.7689 0.7689 1
Se4 0.2631 0.2631 0.2631 1
Se5 0.7369 0.7369 0.7369 1
Se6 0.7442 0.2311 0.2311 1
Se7 0.7689 0.2558 0.7689 1
Se8 0.7689 0.7689 0.2558 1